[1]
First-principles (GGA-PBE) data for Ce6GaSn after structural relaxation, as listed in Alexandria.

Unit cell a=4.718 b=4.718 c=9.399 alpha=90.00 beta=90.00 gamma=90.00
Sites, in units of the cell vectors:
Ce 0.500 0.500 0.000
Ce 0.500 0.500 0.500
Ce 0.500 0.000 0.258
Ce 0.500 0.000 0.742
Ce 0.000 0.500 0.258
Ce 0.000 0.500 0.742
Ga 0.000 0.000 0.500
Sn 0.000 0.000 0.000

Results
Spin magnetization (μB per formula unit): 4.93
Calculated formation energy (eV/atom): -0.325
Excess energy over the best structure of this formula in the dataset (kJ/mol of atoms): 0.0
Energy (eV per cell): -45.23
Density of states at the Fermi level (states/eV/cell): 23.33

[2]
First-principles (GGA-PBE) data for CeGa2Sn after structural relaxation, as listed in Alexandria.

Unit cell a=4.685 b=4.685 c=5.625 alpha=65.39 beta=65.39 gamma=60.00
Sites, in units of the cell vectors:
Ga 0.734 0.734 0.797
Ga 0.266 0.266 0.203
Sn 0.000 0.000 0.000
Ce 0.500 0.500 0.500

Results
Spin magnetization (μB per formula unit): 0.87
Calculated formation energy (eV/atom): -0.307
Excess energy over the best structure of this formula in the dataset (kJ/mol of atoms): 20.7
Energy (eV per cell): -17.22
Density of states at the Fermi level (states/eV/cell): 6.48

[3]
First-principles (GGA-PBE) data for Ce5GaSn4 after structural relaxation, as listed in Alexandria.

Unit cell a=4.117 b=4.117 c=15.806 alpha=90.00 beta=90.00 gamma=90.00
Sites, in units of the cell vectors:
Ce 0.500 0.500 0.091
Ce 0.500 0.500 0.298
Ce 0.500 0.500 0.500
Ce 0.500 0.500 0.702
Ce 0.500 0.500 0.909
Ga 0.000 0.000 0.000
Sn 0.000 0.000 0.192
Sn 0.000 0.000 0.399
Sn 0.000 0.000 0.601
Sn 0.000 0.000 0.808

Results
Spin magnetization (μB per formula unit): 4.40
Calculated formation energy (eV/atom): -0.568
Energy (eV per cell): -54.39
Density of states at the Fermi level (states/eV/cell): 24.09

[4]
First-principles (GGA-PBE) data for Ce5Ga4Sn after structural relaxation, as listed in Alexandria.

Unit cell a=3.313 b=3.313 c=21.635 alpha=90.00 beta=90.00 gamma=90.00
Sites, in units of the cell vectors:
Ce 0.500 0.500 0.111
Ce 0.500 0.500 0.305
Ce 0.500 0.500 0.500
Ce 0.500 0.500 0.695
Ce 0.500 0.500 0.889
Ga 0.000 0.000 0.207
Ga 0.000 0.000 0.402
Ga 0.000 0.000 0.598
Ga 0.000 0.000 0.793
Sn 0.000 0.000 0.000

Results
Spin magnetization (μB per formula unit): 1.27
Calculated formation energy (eV/atom): -0.510
Energy (eV per cell): -50.88
Density of states at the Fermi level (states/eV/cell): 16.97

[5]
First-principles (GGA-PBE) data for Ce2Ga3Sn3 after structural relaxation, as listed in Alexandria.

Unit cell a=4.459 b=4.526 c=9.261 alpha=90.00 beta=90.00 gamma=90.00
Sites, in units of the cell vectors:
Ce 0.000 0.000 0.755
Ce 0.000 0.000 0.245
Ga 0.500 0.500 0.766
Ga 0.500 0.500 0.234
Ga 0.500 0.000 0.000
Sn 0.500 0.000 0.500
Sn 0.000 0.500 0.000
Sn 0.000 0.500 0.500

Results
Spin magnetization (μB per formula unit): 0.54
Calculated formation energy (eV/atom): -0.529
Energy (eV per cell): -37.19
Density of states at the Fermi level (states/eV/cell): 8.71

[6]
First-principles (GGA-PBE) data for CeGa2Sn after structural relaxation, as listed in Alexandria.

Unit cell a=4.377 b=4.522 c=4.522 alpha=90.00 beta=90.00 gamma=90.00
Sites, in units of the cell vectors:
Ga 0.000 0.000 0.500
Ga 0.000 0.500 0.000
Sn 0.500 0.000 0.000
Ce 0.500 0.500 0.500

Results
Spin magnetization (μB per formula unit): 0.57
Calculated formation energy (eV/atom): -0.521
Excess energy over the best structure of this formula in the dataset (kJ/mol of atoms): 0.0
Energy (eV per cell): -18.08
Density of states at the Fermi level (states/eV/cell): 5.28

[7]
First-principles (GGA-PBE) data for Ce6Ga2Sn after structural relaxation, as listed in Alexandria.

Unit cell a=8.757 b=8.251 c=8.319 alpha=98.97 beta=112.60 gamma=114.01
Sites, in units of the cell vectors:
Ce 0.496 0.728 0.774
Ce 0.504 0.272 0.226
Ce 0.099 0.316 0.818
Ce 0.901 0.684 0.182
Ce 0.829 0.785 0.555
Ce 0.171 0.215 0.445
Ce 0.162 0.694 0.964
Ce 0.838 0.306 0.036
Ce 0.668 0.419 0.614
Ce 0.332 0.581 0.386
Ce 0.323 0.950 0.738
Ce 0.677 0.050 0.262
Ga 0.490 0.375 0.870
Ga 0.510 0.625 0.130
Ga 0.662 0.037 0.630
Ga 0.338 0.963 0.370
Sn 0.000 0.500 0.500
Sn 0.000 0.000 0.000

Results
Spin magnetization (μB per formula unit): 3.13
Calculated formation energy (eV/atom): -0.348
Excess energy over the best structure of this formula in the dataset (kJ/mol of atoms): 0.0
Energy (eV per cell): -97.58
Density of states at the Fermi level (states/eV/cell): 47.23

[8]
First-principles (GGA-PBE) data for Ce9GaSn2 after structural relaxation, as listed in Alexandria.

Unit cell a=4.739 b=4.739 c=14.186 alpha=90.00 beta=90.00 gamma=90.00
Sites, in units of the cell vectors:
Ce 0.500 0.500 0.000
Ce 0.500 0.500 0.328
Ce 0.500 0.500 0.672
Ce 0.500 0.000 0.160
Ce 0.500 0.000 0.500
Ce 0.500 0.000 0.840
Ce 0.000 0.500 0.160
Ce 0.000 0.500 0.500
Ce 0.000 0.500 0.840
Ga 0.000 0.000 0.000
Sn 0.000 0.000 0.330
Sn 0.000 0.000 0.670

Results
Spin magnetization (μB per formula unit): 7.60
Calculated formation energy (eV/atom): -0.352
Energy (eV per cell): -68.67
Density of states at the Fermi level (states/eV/cell): 34.78

[9]
First-principles (GGA-PBE) data for CeGa2Sn after structural relaxation, as listed in Alexandria.

Unit cell a=3.713 b=3.713 c=6.692 alpha=90.00 beta=90.00 gamma=90.00
Sites, in units of the cell vectors:
Ga 0.000 0.000 0.786
Ga 0.000 0.000 0.214
Sn 0.500 0.500 0.000
Ce 0.500 0.500 0.500

Results
Spin magnetization (μB per formula unit): 1.15
Calculated formation energy (eV/atom): -0.284
Excess energy over the best structure of this formula in the dataset (kJ/mol of atoms): 22.9
Energy (eV per cell): -17.13
Density of states at the Fermi level (states/eV/cell): 7.47

[10]
First-principles (GGA-PBE) data for CeGaSn after structural relaxation, as listed in Alexandria.

Unit cell a=3.623 b=3.623 c=6.222 alpha=106.93 beta=106.93 gamma=90.00
Sites, in units of the cell vectors:
Ce 0.673 0.673 0.347
Sn 0.976 0.976 0.951
Ga 0.351 0.351 0.702

Results
Spin magnetization (μB per formula unit): 1.56
Calculated formation energy (eV/atom): -0.338
Excess energy over the best structure of this formula in the dataset (kJ/mol of atoms): 19.4
Energy (eV per cell): -13.98
Density of states at the Fermi level (states/eV/cell): 6.97

[11]
First-principles (GGA-PBE) data for Ce6GaSn3 after structural relaxation, as listed in Alexandria.

Unit cell a=5.819 b=8.881 c=10.464 alpha=90.00 beta=89.79 gamma=90.00
Sites, in units of the cell vectors:
Ce 0.540 0.142 0.951
Ce 0.524 0.152 0.553
Ce 0.706 0.384 0.258
Ce 0.294 0.616 0.742
Ce 0.476 0.848 0.447
Ce 0.460 0.858 0.049
Ce 0.040 0.358 0.451
Ce 0.024 0.348 0.053
Ce 0.206 0.116 0.758
Ce 0.794 0.884 0.242
Ce 0.976 0.652 0.947
Ce 0.960 0.642 0.549
Ga 0.500 0.500 0.500
Ga 0.000 0.000 0.000
Sn 0.699 0.885 0.750
Sn 0.500 0.500 0.000
Sn 0.301 0.115 0.250
Sn 0.199 0.615 0.250
Sn 0.000 0.000 0.500
Sn 0.801 0.385 0.750

Results
Spin magnetization (μB per formula unit): 4.84
Calculated formation energy (eV/atom): -0.378
Energy (eV per cell): -108.85
Density of states at the Fermi level (states/eV/cell): 48.69

[12]
First-principles (GGA-PBE) data for CeGaSn after structural relaxation, as listed in Alexandria.

Unit cell a=5.052 b=5.052 c=3.553 alpha=90.00 beta=90.00 gamma=120.00
Sites, in units of the cell vectors:
Ce 0.000 0.000 0.000
Ga 0.333 0.667 0.000
Sn 0.667 0.333 0.500

Results
Spin magnetization (μB per formula unit): 1.28
Calculated formation energy (eV/atom): -0.179
Excess energy over the best structure of this formula in the dataset (kJ/mol of atoms): 34.7
Energy (eV per cell): -13.50
Density of states at the Fermi level (states/eV/cell): 5.56